This record from OQMD via LeMat-Bulk describes YBeAlCo after structural relaxation. The functional is PBE.

Its raw total energy is -86.14 eV/cell. Its total magnetization is 1.4 Bohr magnetons per cell.

Unit cell a=6.255 b=6.255 c=6.255 alpha=90.00 beta=90.00 gamma=90.00
Space group F-43m (No. 216)
Asymmetric unit:
Y 0.000 0.000 0.000 [4 per cell]
Be 0.250 0.250 0.250 [4 per cell]
Al 0.000 0.000 0.500 [4 per cell]
Co 0.250 0.250 0.750 [4 per cell]

***

This record from OQMD via LeMat-Bulk describes MgRe after structural relaxation. The functional is PBE.

Its raw total energy is -80.01 eV/cell. Its total magnetization is 0.0 Bohr magnetons per cell.

Unit cell a=6.002 b=4.590 c=7.833 alpha=90.00 beta=103.13 gamma=90.00
Space group P2_1/m (No. 11)
Asymmetric unit:
Mg 0.020 0.250 0.124 [2 per cell]
Mg 0.303 0.750 0.227 [2 per cell]
Mg 0.475 0.750 0.884 [2 per cell]
Re 0.153 0.250 0.710 [2 per cell]
Re 0.167 0.750 0.559 [2 per cell]
Re 0.396 0.250 0.468 [2 per cell]

***

Please write out number 1 again, unchanged.
This record from OQMD via LeMat-Bulk describes YBeAlCo after structural relaxation. The functional is PBE.

Its raw total energy is -86.14 eV/cell. Its total magnetization is 1.4 Bohr magnetons per cell.

Unit cell a=6.255 b=6.255 c=6.255 alpha=90.00 beta=90.00 gamma=90.00
Space group F-43m (No. 216)
Asymmetric unit:
Y 0.000 0.000 0.000 [4 per cell]
Be 0.250 0.250 0.250 [4 per cell]
Al 0.000 0.000 0.500 [4 per cell]
Co 0.250 0.250 0.750 [4 per cell]